First-principles (GGA-PBEsol) data for a relaxed Sc2SbPt2 crystal, as listed in Alexandria.

```
Sc2SbPt2
1.0
-2.211 2.211 5.361
2.211 -2.211 5.361
2.211 2.211 -5.361
Sc Sb Pt
2 1 2
direct
0.250 0.750 0.500
0.750 0.250 0.500
0.000 0.000 0.000
0.381 0.381 0.000
0.619 0.619 0.000
```

Results
calculated total energy	-7.13	eV per atom
uncorrected formation energy	-0.79	eV/atom
magnetic moment	0.0	μB/f.u.